Entry 1:
Ac2PaSi3Rh12: optimized geometry, PBE.

Calculated values
- Raw formation energy: -0.31 eV per atom
- Raw total energy: -7.102 eV/atom
- Mass density: 9.5 g/cm3
- SG: R-3m
- Size of the total moment: 0.00 μB per formula unit

```
data_Ac2PaSi3Rh12
_chemical_formula_sum 'Ac2 Pa1 Si3 Rh12'
_space_group_name_H-M_alt 'P 1'
_space_group_IT_number 1
_space_group_name_Hall 'P 1'
_cell_length_a 7.683
_cell_length_b 7.683
_cell_length_c 7.683
_cell_angle_alpha 64.17
_cell_angle_beta 64.17
_cell_angle_gamma 64.17
loop_
_atom_site_label
_atom_site_type_symbol
_atom_site_fract_x
_atom_site_fract_y
_atom_site_fract_z
Pa1 Pa 0.000 0.000 0.000
Rh1 Rh 0.137 0.614 0.137
Rh2 Rh 0.650 0.098 0.650
Si1 Si 0.000 0.000 0.500
Rh3 Rh 0.137 0.137 0.614
Rh4 Rh 0.350 0.902 0.350
Ac1 Ac 0.396 0.396 0.396
Rh5 Rh 0.863 0.863 0.386
Rh6 Rh 0.350 0.350 0.902
Rh7 Rh 0.386 0.863 0.863
Si2 Si 0.000 0.500 0.000
Rh8 Rh 0.650 0.650 0.098
Rh9 Rh 0.098 0.650 0.650
Rh10 Rh 0.614 0.137 0.137
Si3 Si 0.500 0.000 0.000
Rh11 Rh 0.902 0.350 0.350
Ac2 Ac 0.604 0.604 0.604
Rh12 Rh 0.863 0.386 0.863
```

Entry 2:
Ac2TmPaRh6: optimized geometry, PBE.

Calculated values
- Raw total energy: -7.091 eV/atom
- Mass density: 10.1 g/cm3
- SG: C2/m
- Size of the total moment: 0.00 μB per formula unit

```
data_Ac2TmPaRh6
_chemical_formula_sum 'Ac2 Tm1 Pa1 Rh6'
_space_group_name_H-M_alt 'P 1'
_space_group_IT_number 1
_space_group_name_Hall 'P 1'
_cell_length_a 8.703
_cell_length_b 5.913
_cell_length_c 5.916
_cell_angle_alpha 60.00
_cell_angle_beta 70.15
_cell_angle_gamma 89.99
loop_
_atom_site_label
_atom_site_type_symbol
_atom_site_fract_x
_atom_site_fract_y
_atom_site_fract_z
Ac1 Ac 0.834 0.278 0.443
Rh1 Rh 0.739 0.247 0.005
Rh2 Rh 0.261 0.253 0.495
Rh3 Rh 0.740 0.747 0.005
Pa1 Pa 0.500 0.500 0.000
Rh4 Rh 0.260 0.253 0.995
Rh5 Rh 0.261 0.753 0.995
Ac2 Ac 0.166 0.722 0.557
Tm1 Tm 0.000 0.000 0.000
Rh6 Rh 0.739 0.747 0.505
```

| no. | Fermi-level density of states (states/eV per atom) |
| --- | --- |
| 1 | 0.55 |
| 2 | 0.68 |